Material: Tm4FeCu
Method: DFT, PBE
State: optimized geometry Values from VASP.

Results
**DFT formation energy**: -0.0920 eV per atom

The structure in Quantum ESPRESSO input format:
```
&SYSTEM
  ibrav = 0, nat = 12, ntyp = 3
/
ATOMIC_SPECIES
Tm 168.93 Tm.upf
Fe 55.84 Fe.upf
Cu 63.55 Cu.upf
CELL_PARAMETERS angstrom
5.8188 -0.3470 -1.5346
-2.5940 6.7488 -2.5686
-0.3193 -0.3364 7.6588
ATOMIC_POSITIONS crystal
Tm 0.7041 0.2227 0.3547
Tm 0.9112 0.0557 0.7086
Tm 0.5888 0.2914 0.9443
Tm 0.0888 0.9443 0.2914
Tm 0.7959 0.6453 0.7773
Tm 0.2959 0.7773 0.6453
Tm 0.2041 0.3547 0.2227
Tm 0.4112 0.7086 0.0557
Fe 0.2500 0.0013 0.9987
Fe 0.7500 0.9987 0.0013
Cu 0.7500 0.6319 0.3681
Cu 0.2500 0.3681 0.6319
```

Material: TmFe4Cu
Method: DFT, PBE
State: optimized geometry Values from VASP.

Results
**DFT formation energy**: 0.0264 eV per atom

The structure in Quantum ESPRESSO input format:
```
&SYSTEM
  ibrav = 0, nat = 6, ntyp = 3
/
ATOMIC_SPECIES
Fe 55.84 Fe.upf
Cu 63.55 Cu.upf
Tm 168.93 Tm.upf
CELL_PARAMETERS angstrom
-3.4820 3.2612 1.2389
-4.7030 -0.8342 -1.2169
-3.2897 -1.1160 3.4967
ATOMIC_POSITIONS crystal
Fe 0.6248 0.1256 0.6248
Fe 0.6248 0.6248 0.6248
Fe 0.1256 0.6248 0.6248
Fe 0.6248 0.6248 0.1256
Cu 0.2500 0.2500 0.2500
Tm 0.0000 0.0000 0.0000
```

Material: YTmFeCu
Method: DFT, PBE
State: optimized geometry Values from VASP.

Results
**DFT formation energy**: -0.0313 eV per atom

The structure in Quantum ESPRESSO input format:
```
&SYSTEM
  ibrav = 0, nat = 4, ntyp = 4
/
ATOMIC_SPECIES
Fe 55.84 Fe.upf
Cu 63.55 Cu.upf
Tm 168.93 Tm.upf
Y 88.91 Y.upf
CELL_PARAMETERS angstrom
4.7680 0.0000 0.0000
2.3840 4.1292 0.0000
2.3840 1.3764 3.8931
ATOMIC_POSITIONS crystal
Fe 0.5000 0.5000 0.5000
Cu 0.0000 0.0000 0.0000
Tm 0.2500 0.2500 0.2500
Y 0.7500 0.7500 0.7500
```

Material: UFe2Cu
Method: DFT, PBE
State: optimized geometry Values from VASP.

Results
**DFT formation energy**: -0.0245 eV per atom

The structure in Quantum ESPRESSO input format:
```
&SYSTEM
  ibrav = 0, nat = 4, ntyp = 3
/
ATOMIC_SPECIES
U 238.03 U.upf
Cu 63.55 Cu.upf
Fe 55.84 Fe.upf
CELL_PARAMETERS angstrom
-3.2399 -0.8547 -0.8932
1.2611 -3.6081 -1.1218
-0.6529 -1.3730 3.6818
ATOMIC_POSITIONS crystal
U 0.5000 0.0000 0.0000
Cu 0.5000 0.5000 0.5000
Fe 0.0000 0.5000 0.0000
Fe 0.0000 0.0000 0.5000
```